No. 1
The following is a DFT calculation (GGA-PBE) of a relaxed RbNa3Bi crystal.

Results
- theoretical density (g cm⁻³) = 2.83
- ΔE_f (eV per atom) = 0.51
- relative energy among the computed polymorphs (eV per atom) = 0.7517

The structure in CIF format:
```
data_RbNa3Bi
_chemical_formula_sum 'Rb1 Na3 Bi1'
_cell_length_a 5.975
_cell_length_b 5.975
_cell_length_c 5.975
_cell_angle_alpha 90.00
_cell_angle_beta 90.00
_cell_angle_gamma 90.00
_symmetry_space_group_name_H-M 'P m -3 m'
_symmetry_Int_Tables_number 221
_symmetry_space_group_name_Hall '-P 4 2 3'
loop_
_atom_site_label
_atom_site_fract_x
_atom_site_fract_y
_atom_site_fract_z
Rb1 0.000 0.000 0.000
Na1 0.000 0.000 0.500
Bi1 0.500 0.500 0.500
```

No. 2
The following is a DFT calculation (GGA-PBE) of a relaxed RbNaBi2Ru crystal.

Results
- theoretical density (g cm⁻³) = 6.20
- ΔE_f (eV per atom) = 0.97

The structure in CIF format:
```
data_RbNaBi2Ru
_chemical_formula_sum 'Rb1 Na1 Bi2 Ru1'
_cell_length_a 5.649
_cell_length_b 5.649
_cell_length_c 5.269
_cell_angle_alpha 90.00
_cell_angle_beta 90.00
_cell_angle_gamma 90.00
_symmetry_space_group_name_H-M 'P 4/m m m'
_symmetry_Int_Tables_number 123
_symmetry_space_group_name_Hall '-P 4 2'
loop_
_atom_site_label
_atom_site_fract_x
_atom_site_fract_y
_atom_site_fract_z
Rb1 0.000 0.000 0.000
Na1 0.500 0.500 0.500
Bi1 0.000 0.500 0.500
Ru1 0.500 0.500 0.000
```

No. 3
The following is a DFT calculation (GGA-PBE) of a relaxed Rb2NaScBi2 crystal.

Results
- theoretical density (g cm⁻³) = 4.58
- ΔE_f (eV per atom) = -0.54

The structure in CIF format:
```
data_Rb2NaScBi2
_chemical_formula_sum 'Rb8 Na4 Sc4 Bi8'
_cell_length_a 7.515
_cell_length_b 17.109
_cell_length_c 7.413
_cell_angle_alpha 90.00
_cell_angle_beta 90.00
_cell_angle_gamma 90.00
_symmetry_space_group_name_H-M 'I b a m'
_symmetry_Int_Tables_number 72
_symmetry_space_group_name_Hall '-I 2 2c'
loop_
_atom_site_label
_atom_site_fract_x
_atom_site_fract_y
_atom_site_fract_z
Rb1 0.223 0.175 0.000
Na1 0.000 0.000 0.250
Sc1 0.000 0.500 0.250
Bi1 0.215 0.402 0.000
```

No. 4
The following is a DFT calculation (GGA-PBE) of a relaxed Rb2NaSnBi2 crystal.

Results
- theoretical density (g cm⁻³) = 4.92
- ΔE_f (eV per atom) = -0.34

The structure in CIF format:
```
data_Rb2NaSnBi2
_chemical_formula_sum 'Rb8 Na4 Sn4 Bi8'
_cell_length_a 7.545
_cell_length_b 17.263
_cell_length_c 7.579
_cell_angle_alpha 90.00
_cell_angle_beta 90.00
_cell_angle_gamma 90.00
_symmetry_space_group_name_H-M 'I b a m'
_symmetry_Int_Tables_number 72
_symmetry_space_group_name_Hall '-I 2 2c'
loop_
_atom_site_label
_atom_site_fract_x
_atom_site_fract_y
_atom_site_fract_z
Rb1 0.244 0.169 0.000
Na1 0.000 0.000 0.250
Sn1 0.000 0.500 0.250
Bi1 0.231 0.397 0.000
```

Copy entry 2 word for word.
The following is a DFT calculation (GGA-PBE) of a relaxed RbNaBi2Ru crystal.

Results
- theoretical density (g cm⁻³) = 6.20
- ΔE_f (eV per atom) = 0.97

The structure in CIF format:
```
data_RbNaBi2Ru
_chemical_formula_sum 'Rb1 Na1 Bi2 Ru1'
_cell_length_a 5.649
_cell_length_b 5.649
_cell_length_c 5.269
_cell_angle_alpha 90.00
_cell_angle_beta 90.00
_cell_angle_gamma 90.00
_symmetry_space_group_name_H-M 'P 4/m m m'
_symmetry_Int_Tables_number 123
_symmetry_space_group_name_Hall '-P 4 2'
loop_
_atom_site_label
_atom_site_fract_x
_atom_site_fract_y
_atom_site_fract_z
Rb1 0.000 0.000 0.000
Na1 0.500 0.500 0.500
Bi1 0.000 0.500 0.500
Ru1 0.500 0.500 0.000
```